Record 1
# MgBe2In2Pd5 | the Alexandria database | PBE-GGA | optimized geometry
# Total magnetic moment = 0.00 μB/f.u.
# ΔE_f = -5.05 eV/f.u.
data_MgBe2In2Pd5
_cell_length_a 9.419
_cell_length_b 9.419
_cell_length_c 3.430
_cell_angle_alpha 90.00
_cell_angle_beta 90.00
_cell_angle_gamma 90.00
_space_group_name_H-M_alt 'P 4/m b m'
_space_group_IT_number 127
_space_group_name_Hall '-P 4 2ab'
loop_
_atom_site_label
_atom_site_fract_x
_atom_site_fract_y
_atom_site_fract_z
Mg1 0.000 0.000 0.000
Be1 0.123 0.377 0.000
In1 0.174 0.674 0.000
Pd1 0.000 0.500 0.500
Pd2 0.076 0.210 0.500



Record 2
# CaScFe | the Alexandria database | PBE-GGA | optimized geometry
# Total magnetic moment = 0.92 μB/f.u.
# ΔE_f = 0.64 eV/f.u.
data_CaScFe
_cell_length_a 3.336
_cell_length_b 3.336
_cell_length_c 12.108
_cell_angle_alpha 90.00
_cell_angle_beta 90.00
_cell_angle_gamma 90.00
_space_group_name_H-M_alt 'I 4 m m'
_space_group_IT_number 107
_space_group_name_Hall 'I 4 -2'
loop_
_atom_site_label
_atom_site_fract_x
_atom_site_fract_y
_atom_site_fract_z
Ca1 0.000 0.000 0.000
Sc1 0.000 0.000 0.737
Fe1 0.000 0.000 0.338



Please write out number 2 again, unchanged.
# CaScFe | the Alexandria database | PBE-GGA | optimized geometry
# Total magnetic moment = 0.92 μB/f.u.
# ΔE_f = 0.64 eV/f.u.
data_CaScFe
_cell_length_a 3.336
_cell_length_b 3.336
_cell_length_c 12.108
_cell_angle_alpha 90.00
_cell_angle_beta 90.00
_cell_angle_gamma 90.00
_space_group_name_H-M_alt 'I 4 m m'
_space_group_IT_number 107
_space_group_name_Hall 'I 4 -2'
loop_
_atom_site_label
_atom_site_fract_x
_atom_site_fract_y
_atom_site_fract_z
Ca1 0.000 0.000 0.000
Sc1 0.000 0.000 0.737
Fe1 0.000 0.000 0.338